1.
Density functional theory data (PBE) for an optimized crystal structure of K2PaS3.

Lattice parameters (Å, degrees): 5.8096 14.9070 4.1788 90.00 90.00 90.00
Space group Cmmm (No. 65)
One atom of each set of equivalent atoms:
K1 0.0000 0.1601 0.0000 (multiplicity 4)
Pa1 0.0000 0.5000 0.5000 (multiplicity 2)
S1 0.0000 0.0000 0.5000 (multiplicity 2)
S2 0.0000 0.3806 0.0000 (multiplicity 4)

Results
- total DFT energy (no corrections) (eV/cell) = -65.12
- formation energy without anion corrections (eV per atom) = -1.414
- total magnetization (μB per cell) = 2.00

***

2.
Density functional theory data (PBE) for an optimized crystal structure of K2PaS3.

Lattice parameters (Å, degrees): 7.3215 12.6706 7.7827 90.00 108.63 90.00
Space group C2/m (No. 12)
One atom of each set of equivalent atoms:
K1 0.0000 0.0000 0.0000 (multiplicity 2)
K2 0.0000 0.1566 0.5000 (multiplicity 4)
K3 0.0000 0.5000 0.5000 (multiplicity 2)
Pa1 0.0000 0.3326 0.0000 (multiplicity 4)
S1 0.1970 0.5000 0.2059 (multiplicity 4)
S2 0.2424 0.3129 0.7931 (multiplicity 8)

Results
- total DFT energy (no corrections) (eV/cell) = -132.83
- formation energy without anion corrections (eV per atom) = -1.523
- total magnetization (μB per cell) = 4.01

***

3.
Density functional theory data (PBE) for an optimized crystal structure of KPa2SbS8.

Lattice parameters (Å, degrees): 6.1686 8.4011 6.2556 90.00 93.72 90.00
Space group P2/m (No. 10)
One atom of each set of equivalent atoms:
K1 0.0000 0.0000 0.0000 (multiplicity 1)
Pa1 0.5000 0.2509 0.5000 (multiplicity 2)
Sb1 0.0000 0.5000 0.0000 (multiplicity 1)
S1 0.2547 0.2868 0.1464 (multiplicity 4)
S2 0.2576 0.5000 0.6365 (multiplicity 2)
S3 0.2924 0.0000 0.6338 (multiplicity 2)

Results
- total DFT energy (no corrections) (eV/cell) = -68.45
- formation energy without anion corrections (eV per atom) = -0.935
- total magnetization (μB per cell) = 0.00

***

4.
Density functional theory data (PBE) for an optimized crystal structure of K2PaSbS6.

Lattice parameters (Å, degrees): 7.3227 7.3227 5.2173 90.00 90.00 90.00
Space group P4mm (No. 99)
One atom of each set of equivalent atoms:
K1 0.0000 0.5000 0.0000 (multiplicity 2)
Pa1 0.0000 0.0000 0.5004 (multiplicity 1)
Sb1 0.5000 0.5000 0.4976 (multiplicity 1)
S1 0.0000 0.0000 0.0004 (multiplicity 1)
S2 0.2495 0.2495 0.5005 (multiplicity 4)
S3 0.5000 0.5000 0.9998 (multiplicity 1)

Results
- total DFT energy (no corrections) (eV/cell) = -49.61
- formation energy without anion corrections (eV per atom) = -0.903
- total magnetization (μB per cell) = 0.00

***

5.
Density functional theory data (PBE) for an optimized crystal structure of KPaSe2S.

Lattice parameters (Å, degrees): 5.5262 5.5262 5.2258 90.00 90.00 90.00
Space group P4/mmm (No. 123)
One atom of each set of equivalent atoms:
K1 0.0000 0.0000 0.0000 (multiplicity 1)
Pa1 0.5000 0.5000 0.5000 (multiplicity 1)
Se1 0.0000 0.5000 0.5000 (multiplicity 2)
S1 0.5000 0.5000 0.0000 (multiplicity 1)

Results
- total DFT energy (no corrections) (eV/cell) = -28.84
- formation energy without anion corrections (eV per atom) = -1.430
- total magnetization (μB per cell) = 0.00

***

6.
Density functional theory data (PBE) for an optimized crystal structure of KPa2SeS5.

Lattice parameters (Å, degrees): 7.4769 7.4769 16.9565 90.00 90.00 90.00
Space group I4/mcm (No. 140)
One atom of each set of equivalent atoms:
K1 0.0000 0.0000 0.2500 (multiplicity 4)
Pa1 0.1631 0.3369 0.0000 (multiplicity 8)
Se1 0.0000 0.5000 0.2500 (multiplicity 4)
S1 0.0000 0.0000 0.0000 (multiplicity 4)
S2 0.1420 0.3580 0.4010 (multiplicity 16)

Results
- total DFT energy (no corrections) (eV/cell) = -221.14
- formation energy without anion corrections (eV per atom) = -1.230
- total magnetization (μB per cell) = 0.00

***

7.
Density functional theory data (PBE) for an optimized crystal structure of KSm2PaS5.

Lattice parameters (Å, degrees): 5.0614 7.1893 13.7120 90.00 90.00 90.00
Space group Immm (No. 71)
One atom of each set of equivalent atoms:
K1 0.0000 0.0000 0.0000 (multiplicity 2)
Sm1 0.0000 0.5000 0.2031 (multiplicity 4)
Pa1 0.0000 0.0000 0.5000 (multiplicity 2)
S1 0.0000 0.2382 0.3493 (multiplicity 8)
S2 0.0000 0.5000 0.0000 (multiplicity 2)

Results
- total DFT energy (no corrections) (eV/cell) = -111.81
- formation energy without anion corrections (eV per atom) = -1.693
- total magnetization (μB per cell) = 0.08

***

8.
Density functional theory data (PBE) for an optimized crystal structure of K2Sm2PaS6.

Lattice parameters (Å, degrees): 7.1132 12.2459 7.8981 90.00 107.62 90.00
Space group C2/m (No. 12)
One atom of each set of equivalent atoms:
K1 0.0000 0.1689 0.0000 (multiplicity 4)
Sm1 0.0000 0.3341 0.5000 (multiplicity 4)
Pa1 0.0000 0.0000 0.5000 (multiplicity 2)
S1 0.2271 0.1630 0.6978 (multiplicity 8)
S2 0.2465 0.5000 0.6977 (multiplicity 4)

Results
- total DFT energy (no corrections) (eV/cell) = -131.41
- formation energy without anion corrections (eV per atom) = -1.801
- total magnetization (μB per cell) = 2.17

***

9.
Density functional theory data (PBE) for an optimized crystal structure of K2SmPaS4.

Lattice parameters (Å, degrees): 7.0848 4.0633 7.8015 90.00 107.39 90.00
Space group P2/m (No. 10)
One atom of each set of equivalent atoms:
K1 0.0000 0.0000 0.0000 (multiplicity 1)
K2 0.5000 0.5000 0.0000 (multiplicity 1)
Sm1 0.0000 0.5000 0.5000 (multiplicity 1)
Pa1 0.5000 0.0000 0.5000 (multiplicity 1)
S1 0.2433 0.0000 0.7076 (multiplicity 2)
S2 0.2698 0.5000 0.2933 (multiplicity 2)

Results
- total DFT energy (no corrections) (eV/cell) = -46.16
- formation energy without anion corrections (eV per atom) = -1.655
- total magnetization (μB per cell) = 1.92

***

10.
Density functional theory data (PBE) for an optimized crystal structure of K3Sm3PaS8.

Lattice parameters (Å, degrees): 8.2351 8.2351 22.4571 90.00 90.00 120.00
Space group R-3m (No. 166, hexagonal axes)
One atom of each set of equivalent atoms:
K1 0.0000 0.5000 0.0000 (multiplicity 9)
Sm1 0.0000 0.5000 0.5000 (multiplicity 9)
Pa1 0.0000 0.0000 0.5000 (multiplicity 3)
S1 0.0000 0.0000 0.2348 (multiplicity 6)
S2 0.0098 0.5049 0.2324 (multiplicity 18)

Results
- total DFT energy (no corrections) (eV/cell) = -261.65
- formation energy without anion corrections (eV per atom) = -1.817
- total magnetization (μB per cell) = 3.12

***

11.
Density functional theory data (PBE) for an optimized crystal structure of K4Sm3PaS8.

Lattice parameters (Å, degrees): 8.2373 8.2373 22.2004 90.00 90.00 120.00
Space group R-3m (No. 166, hexagonal axes)
One atom of each set of equivalent atoms:
K1 0.0000 0.0000 0.0000 (multiplicity 3)
K2 0.0000 0.5000 0.0000 (multiplicity 9)
Sm1 0.0000 0.5000 0.5000 (multiplicity 9)
Pa1 0.0000 0.0000 0.5000 (multiplicity 3)
S1 0.0000 0.0000 0.2360 (multiplicity 6)
S2 0.0069 0.5034 0.2353 (multiplicity 18)

Results
- total DFT energy (no corrections) (eV/cell) = -267.36
- formation energy without anion corrections (eV per atom) = -1.754
- total magnetization (μB per cell) = 5.43

***

12.
Density functional theory data (PBE) for an optimized crystal structure of K3Sm2PaS6.

Lattice parameters (Å, degrees): 7.1010 12.2976 7.7815 90.00 107.72 90.00
Space group C2/m (No. 12)
One atom of each set of equivalent atoms:
K1 0.0000 0.0000 0.0000 (multiplicity 2)
K2 0.0000 0.3311 0.0000 (multiplicity 4)
Sm1 0.0000 0.1665 0.5000 (multiplicity 4)
Pa1 0.0000 0.5000 0.5000 (multiplicity 2)
S1 0.2311 0.3377 0.7067 (multiplicity 8)
S2 0.2448 0.0000 0.7069 (multiplicity 4)

Results
- total DFT energy (no corrections) (eV/cell) = -135.31
- formation energy without anion corrections (eV per atom) = -1.722
- total magnetization (μB per cell) = 3.40

***

13.
Density functional theory data (PBE) for an optimized crystal structure of K2PaSnS6.

Lattice parameters (Å, degrees): 7.2628 7.2628 17.7604 90.00 90.00 120.00
Space group R-3 (No. 148, hexagonal axes)
One atom of each set of equivalent atoms:
K1 0.0000 0.0000 0.2503 (multiplicity 6)
Pa1 0.0000 0.0000 0.0000 (multiplicity 3)
Sn1 0.0000 0.0000 0.5000 (multiplicity 3)
S1 0.0038 0.5281 0.2493 (multiplicity 18)

Results
- total DFT energy (no corrections) (eV/cell) = -150.38
- formation energy without anion corrections (eV per atom) = -0.967
- total magnetization (μB per cell) = 0.00

***

14.
Density functional theory data (PBE) for an optimized crystal structure of K3PaSn2S6.

Lattice parameters (Å, degrees): 7.3064 12.6473 7.6098 90.00 108.68 90.00
Space group C2/m (No. 12)
One atom of each set of equivalent atoms:
K1 0.0000 0.0000 0.0000 (multiplicity 2)
K2 0.0000 0.3260 0.0000 (multiplicity 4)
Pa1 0.0000 0.5000 0.5000 (multiplicity 2)
Sn1 0.0000 0.1654 0.5000 (multiplicity 4)
S1 0.2212 0.3464 0.7028 (multiplicity 8)
S2 0.2386 0.5000 0.2966 (multiplicity 4)

Results
- total DFT energy (no corrections) (eV/cell) = -119.46
- formation energy without anion corrections (eV per atom) = -1.181
- total magnetization (μB per cell) = 0.00

***

15.
Density functional theory data (PBE) for an optimized crystal structure of KSrPaS4.

Lattice parameters (Å, degrees): 5.2620 5.2620 15.3529 90.00 90.00 90.00
Space group I4mm (No. 107)
One atom of each set of equivalent atoms:
K1 0.0000 0.0000 0.0000 (multiplicity 2)
Sr1 0.0000 0.0000 0.7205 (multiplicity 2)
Pa1 0.0000 0.0000 0.3616 (multiplicity 2)
S1 0.0000 0.0000 0.1952 (multiplicity 2)
S2 0.0000 0.0000 0.5286 (multiplicity 2)
S3 0.0000 0.5000 0.3500 (multiplicity 4)

Results
- total DFT energy (no corrections) (eV/cell) = -80.68
- formation energy without anion corrections (eV per atom) = -1.651
- total magnetization (μB per cell) = 0.00

***

16.
Density functional theory data (PBE) for an optimized crystal structure of KSr2PaS5.

Lattice parameters (Å, degrees): 5.1718 7.4692 14.2733 90.00 90.00 90.00
Space group Immm (No. 71)
One atom of each set of equivalent atoms:
K1 0.0000 0.0000 0.0000 (multiplicity 2)
Sr1 0.0000 0.5000 0.2114 (multiplicity 4)
Pa1 0.0000 0.0000 0.5000 (multiplicity 2)
S1 0.0000 0.2351 0.3628 (multiplicity 8)
S2 0.0000 0.5000 0.0000 (multiplicity 2)

Results
- total DFT energy (no corrections) (eV/cell) = -101.07
- formation energy without anion corrections (eV per atom) = -1.771
- total magnetization (μB per cell) = 0.00

***

17.
Density functional theory data (PBE) for an optimized crystal structure of K2PaTaS6.

Lattice parameters (Å, degrees): 7.0798 7.0798 5.2925 90.00 90.00 90.00
Space group P4mm (No. 99)
One atom of each set of equivalent atoms:
K1 0.0000 0.5000 0.0000 (multiplicity 2)
Pa1 0.0000 0.0000 0.5075 (multiplicity 1)
Ta1 0.5000 0.5000 0.4268 (multiplicity 1)
S1 0.0000 0.0000 0.0117 (multiplicity 1)
S2 0.2612 0.2612 0.5149 (multiplicity 4)
S3 0.5000 0.5000 0.0080 (multiplicity 1)

Results
- total DFT energy (no corrections) (eV/cell) = -61.19
- formation energy without anion corrections (eV per atom) = -1.288
- total magnetization (μB per cell) = 0.00

***

18.
Density functional theory data (PBE) for an optimized crystal structure of K2TbPaS4.

Lattice parameters (Å, degrees): 7.0293 4.0230 7.7879 90.00 107.22 90.00
Space group P2/m (No. 10)
One atom of each set of equivalent atoms:
K1 0.0000 0.0000 0.0000 (multiplicity 1)
K2 0.5000 0.5000 0.0000 (multiplicity 1)
Tb1 0.0000 0.5000 0.5000 (multiplicity 1)
Pa1 0.5000 0.0000 0.5000 (multiplicity 1)
S1 0.2374 0.0000 0.7048 (multiplicity 2)
S2 0.2646 0.5000 0.2933 (multiplicity 2)

Results
- total DFT energy (no corrections) (eV/cell) = -46.12
- formation energy without anion corrections (eV per atom) = -1.662
- total magnetization (μB per cell) = 1.94

***

19.
Density functional theory data (PBE) for an optimized crystal structure of K3Tb3PaS8.

Lattice parameters (Å, degrees): 8.1140 8.1140 22.4374 90.00 90.00 120.00
Space group R-3m (No. 166, hexagonal axes)
One atom of each set of equivalent atoms:
K1 0.0000 0.5000 0.0000 (multiplicity 9)
Tb1 0.0000 0.5000 0.5000 (multiplicity 9)
Pa1 0.0000 0.0000 0.5000 (multiplicity 3)
S1 0.0000 0.0000 0.2336 (multiplicity 6)
S2 0.0045 0.5023 0.2322 (multiplicity 18)

Results
- total DFT energy (no corrections) (eV/cell) = -261.59
- formation energy without anion corrections (eV per atom) = -1.833
- total magnetization (μB per cell) = 3.13

***

20.
Density functional theory data (PBE) for an optimized crystal structure of K4Tb3PaS8.

Lattice parameters (Å, degrees): 8.1320 8.1320 22.1760 90.00 90.00 120.00
Space group R-3m (No. 166, hexagonal axes)
One atom of each set of equivalent atoms:
K1 0.0000 0.0000 0.0000 (multiplicity 3)
K2 0.0000 0.5000 0.0000 (multiplicity 9)
Tb1 0.0000 0.5000 0.5000 (multiplicity 9)
Pa1 0.0000 0.0000 0.5000 (multiplicity 3)
S1 0.0000 0.0000 0.2345 (multiplicity 6)
S2 0.0020 0.5010 0.2347 (multiplicity 18)

Results
- total DFT energy (no corrections) (eV/cell) = -267.11
- formation energy without anion corrections (eV per atom) = -1.765
- total magnetization (μB per cell) = 5.43